CsNiTe2O8 | GGA+U | relaxed

Summary:
magnetization = 2.92 μB per cell
E = -4.997 eV per atom

a b c (Å): 5.2475 5.2475 9.4239
angles (deg): 90.00 90.00 120.00
Closest atoms and distances in Å follow each position.
Space group P-3 (No. 147)
One atom of each set of equivalent atoms:
1 Cs 0.0000 0.0000 0.0000 (multiplicity 1)  6 O 3.26
2 Ni 0.0000 0.0000 0.5000 (multiplicity 1)  6 O 1.98
3 Te 0.3333 0.6667 0.6801 (multiplicity 2)  4 O 1.82-1.86
4 O 0.0109 0.3103 0.6237 (multiplicity 6)  1 Te 1.86, 1 Ni 1.98
5 O 0.3333 0.6667 0.8735 (multiplicity 2)  1 Te 1.82